*one*
# TlAs2Rh

TlAs2Rh after structural relaxation (PBE, Alexandria).

a b c (Å): 4.7648 4.7648 4.7648
angles (deg): 60.00 60.00 60.00
Fractional coordinates of all 4 atoms:
Tl (0.0000, 0.0000, 0.0000)
As (0.2500, 0.2500, 0.2500)
As (0.7500, 0.7500, 0.7500)
Rh (0.5000, 0.5000, 0.5000)

Output
Magnetization   0.00 μB per formula unit


*two*
# TlAs2Rh

TlAs2Rh after structural relaxation (PBE, Alexandria).

a b c (Å): 4.1304 4.1304 6.7927
angles (deg): 104.03 104.03 52.84
Fractional coordinates of all 4 atoms:
Tl (0.0000, 0.0000, 0.0000)
As (0.2272, 0.2272, 0.6563)
As (0.7728, 0.7728, 0.3437)
Rh (0.5000, 0.5000, 0.5000)

Output
Magnetization   0.00 μB per formula unit


*three*
# TlAs2Rh

TlAs2Rh after structural relaxation (PBE, Alexandria).

a b c (Å): 4.7944 4.7944 3.6005
angles (deg): 90.10 90.10 109.03
Fractional coordinates of all 4 atoms:
Tl (0.0000, 0.0000, 0.0000)
As (0.0000, 0.5000, 0.5000)
As (0.5000, 0.0000, 0.5000)
Rh (0.5000, 0.5000, 0.0000)

Output
Magnetization   0.00 μB per formula unit


Which structure wins on stability? *two* wins.